# 1
Below is crystalline YSb2Se at its relaxed geometry, with properties calculated at the PBE level.

Computed properties:
- Spin magnetization: 0.0 μB/cell
- ΔE_f (raw): -0.1463 eV per atom
- D(E_F): 3.7 states/eV/f.u.

Lattice parameters (Å, degrees): 8.1005 8.1005 8.1005 29.45 29.45 29.45
Atoms (fractional coordinates):
Y (0.0000, 0.0000, 0.0000)
Sb (0.2456, 0.2456, 0.2456)
Sb (0.7544, 0.7544, 0.7544)
Se (0.5000, 0.5000, 0.5000)


# 2
Below is crystalline YSb2Se at its relaxed geometry, with properties calculated at the PBE level.

Computed properties:
- Spin magnetization: 0.0 μB/cell
- ΔE_f (raw): -0.7119 eV per atom
- D(E_F): 1.8 states/eV/f.u.

Lattice parameters (Å, degrees): 3.8132 3.8132 7.4883 90.00 90.00 90.00
Atoms (fractional coordinates):
Y (0.0000, 0.0000, 0.0000)
Sb (0.0000, 0.0000, 0.4893)
Sb (0.5000, 0.5000, 0.3006)
Se (0.5000, 0.5000, 0.8492)